<P>
SrGeI2 after structural relaxation, computed with PBE.

Volume ... 322.83 Å³ per cell
Magnetic moment ... 0.000 μB/atom

```
SrGeI2
1.0
-5.339 -1.554 -0.932
0.987 -4.926 2.559
-4.912 0.832 9.705
Ge Sr I
2 2 4
direct
0.250 0.750 0.500
0.500 0.500 0.000
0.750 0.250 0.500
0.000 0.000 0.000
0.875 0.853 0.750
0.603 0.125 0.250
0.147 0.625 0.250
0.375 0.397 0.750
```

<Q>
SrGeI2 after structural relaxation, computed with PBE.

Volume ... 180.54 Å³ per cell
Magnetic moment ... 0.000 μB/atom

```
SrGeI2
1.0
4.563 0.000 0.000
2.281 3.952 0.000
2.281 1.317 10.013
Ge I Sr
1 2 1
direct
0.500 0.500 0.500
0.113 0.113 0.662
0.887 0.887 0.338
0.000 0.000 0.000
```

<R>
SrGeI2 after structural relaxation, computed with PBE.

Volume ... 134.12 Å³ per cell
Magnetic moment ... 0.365 μB/atom

```
SrGeI2
1.0
0.000 4.063 4.063
4.063 0.000 4.063
4.063 4.063 0.000
I Ge Sr
2 1 1
direct
0.250 0.250 0.250
0.750 0.750 0.750
0.000 0.000 0.000
0.500 0.500 0.500
```

Which of them is the least stable? Correct choice: <Q>.

<P>
TaGeI2 after structural relaxation, computed with PBE.

Volume ... 90.15 Å³ per cell
Magnetic moment ... 0.000 μB/atom

```
TaGeI2
1.0
-4.290 -2.529 0.731
-3.397 1.707 3.298
-4.359 1.911 -1.638
Ge I Ta
1 2 1
direct
0.000 0.000 0.000
0.250 0.250 0.250
0.750 0.750 0.750
0.500 0.500 0.500
```

<Q>
TaGeI2 after structural relaxation, computed with PBE.

Volume ... 266.96 Å³ per cell
Magnetic moment ... 0.257 μB/atom

```
TaGeI2
1.0
-4.580 -9.041 0.868
8.803 -4.179 2.919
1.544 -6.086 4.355
Ta I Ge
2 4 2
direct
0.750 0.250 0.500
0.000 0.000 0.000
0.977 0.625 0.250
0.375 0.227 0.750
0.773 0.125 0.250
0.875 0.023 0.750
0.250 0.750 0.500
0.500 0.500 0.000
```

Which of them is the least stable? Correct choice: <P>.

<P>
TaGeI3 after structural relaxation, computed with PBE.

Volume ... 173.08 Å³ per cell
Magnetic moment ... 0.621 μB/atom

```
TaGeI3
1.0
5.573 0.000 0.000
0.000 5.573 0.000
0.000 0.000 5.573
I Ta Ge
3 1 1
direct
0.000 0.000 0.500
0.500 0.000 0.000
0.000 0.500 0.000
0.000 0.000 0.000
0.500 0.500 0.500
```

<Q>
TaGeI3 after structural relaxation, computed with PBE.

Volume ... 188.75 Å³ per cell
Magnetic moment ... 0.800 μB/atom

```
TaGeI3
1.0
-0.155 5.186 -2.446
-2.863 -2.190 -4.462
-4.968 1.100 2.648
Ta Ge I
1 1 3
direct
0.500 0.500 0.500
0.000 0.000 0.000
0.000 0.000 0.500
0.500 0.000 0.000
0.000 0.500 0.000
```

Which of them is the least stable? Correct choice: <Q>.

<P>
Tb2GeI after structural relaxation, computed with PBE.

Volume ... 116.59 Å³ per cell
Magnetic moment ... 0.000 μB/atom

```
Tb2GeI
1.0
4.257 0.000 0.000
2.129 3.687 0.000
2.129 1.229 7.428
I Tb Ge
1 2 1
direct
0.500 0.500 0.500
0.268 0.268 0.195
0.732 0.732 0.805
0.000 0.000 0.000
```

<Q>
Tb2GeI after structural relaxation, computed with PBE.

Volume ... 116.58 Å³ per cell
Magnetic moment ... 0.000 μB/atom

```
Tb2GeI
1.0
4.210 0.000 0.000
2.105 3.646 0.000
2.105 1.215 7.596
Tb Ge I
2 1 1
direct
0.065 0.065 0.805
0.268 0.268 0.196
0.668 0.668 0.995
0.499 0.499 0.504
```

Which of them is the least stable? Correct choice: <Q>.

<P>
Tc3GeI after structural relaxation, computed with PBE.

Volume ... 114.28 Å³ per cell
Magnetic moment ... 0.709 μB/atom

```
Tc3GeI
1.0
4.853 0.000 0.000
0.000 4.853 0.000
0.000 0.000 4.853
Tc I Ge
3 1 1
direct
0.500 0.000 0.000
0.000 0.000 0.500
0.000 0.500 0.000
0.000 0.000 0.000
0.500 0.500 0.500
```

<Q>
Tc3GeI after structural relaxation, computed with PBE.

Volume ... 100.71 Å³ per cell
Magnetic moment ... 0.368 μB/atom

```
Tc3GeI
1.0
-2.680 -3.669 1.000
3.323 -1.663 2.800
-1.851 2.327 3.579
Tc Ge I
3 1 1
direct
0.000 0.000 0.500
0.500 0.000 0.000
0.000 0.500 0.000
0.000 0.000 0.000
0.500 0.500 0.500
```

Which of them is the least stable? Correct choice: <P>.

<P>
TcGe2I after structural relaxation, computed with PBE.

Volume ... 78.22 Å³ per cell
Magnetic moment ... 0.000 μB/atom

```
TcGe2I
1.0
0.000 3.394 3.394
3.394 0.000 3.394
3.394 3.394 0.000
Ge I Tc
2 1 1
direct
0.250 0.250 0.250
0.750 0.750 0.750
0.500 0.500 0.500
0.000 0.000 0.000
```

<Q>
TcGe2I after structural relaxation, computed with PBE.

Volume ... 239.14 Å³ per cell
Magnetic moment ... 0.000 μB/atom

```
TcGe2I
1.0
-6.151 0.366 0.920
-0.982 -2.984 -5.380
-3.443 -6.705 0.740
Tc I Ge
2 2 4
direct
0.500 0.500 0.000
0.250 0.750 0.500
0.750 0.250 0.500
0.000 0.000 0.000
0.522 0.125 0.250
0.875 0.772 0.750
0.375 0.478 0.750
0.228 0.625 0.250
```

Which of them is the least stable? Correct choice: <P>.

<P>
TcGeTeI2 after structural relaxation, computed with PBE.

Volume ... 155.89 Å³ per cell
Magnetic moment ... 0.284 μB/atom

```
TcGeTeI2
1.0
5.518 0.000 0.000
0.000 5.518 0.000
0.000 0.000 5.120
Tc Te I Ge
1 1 2 1
direct
0.000 0.000 0.000
0.000 0.000 0.500
0.500 0.000 0.000
0.000 0.500 0.000
0.500 0.500 0.500
```

<Q>
TcGeTeI2 after structural relaxation, computed with PBE.

Volume ... 176.71 Å³ per cell
Magnetic moment ... 1.003 μB/atom

```
TcGeTeI2
1.0
5.623 0.000 0.000
0.000 5.623 0.000
0.000 0.000 5.589
Tc I Ge Te
1 2 1 1
direct
0.500 0.500 0.500
0.000 0.500 0.000
0.500 0.000 0.000
0.000 0.000 0.000
0.000 0.000 0.500
```

Which of them is the least stable? Correct choice: <Q>.

<P>
TcGeTe2I after structural relaxation, computed with PBE.

Volume ... 165.01 Å³ per cell
Magnetic moment ... 0.990 μB/atom

```
TcGeTe2I
1.0
-4.736 0.287 -2.652
-2.662 -0.150 4.737
0.181 5.575 0.279
Tc I Te Ge
1 1 2 1
direct
0.500 0.500 0.500
0.000 0.000 0.500
0.500 0.000 0.000
0.000 0.500 0.000
0.000 0.000 0.000
```

<Q>
TcGeTe2I after structural relaxation, computed with PBE.

Volume ... 150.45 Å³ per cell
Magnetic moment ... 0.100 μB/atom

```
TcGeTe2I
1.0
-1.801 2.949 -3.818
-4.380 0.707 2.613
2.227 4.585 2.492
Ge I Te Tc
1 1 2 1
direct
0.500 0.500 0.500
0.000 0.000 0.500
0.000 0.500 0.000
0.500 0.000 0.000
0.000 0.000 0.000
```

Which of them is the least stable? Correct choice: <P>.

<P>
GeTe3I after structural relaxation, computed with PBE.

Volume ... 164.59 Å³ per cell
Magnetic moment ... 0.000 μB/atom

```
GeTe3I
1.0
-3.246 -3.202 3.041
-2.962 -1.220 -4.446
3.274 -4.277 -1.008
I Te Ge
1 3 1
direct
0.500 0.500 0.500
0.500 0.000 0.000
0.000 0.500 0.000
0.000 0.000 0.500
0.000 0.000 0.000
```

<Q>
GeTe3I after structural relaxation, computed with PBE.

Volume ... 195.84 Å³ per cell
Magnetic moment ... 0.000 μB/atom

```
GeTe3I
1.0
5.807 0.000 0.000
0.000 5.807 0.000
0.000 0.000 5.807
I Ge Te
1 1 3
direct
0.000 0.000 0.000
0.500 0.500 0.500
0.500 0.000 0.000
0.000 0.500 0.000
0.000 0.000 0.500
```

<R>
GeTe3I after structural relaxation, computed with PBE.

Volume ... 368.12 Å³ per cell
Magnetic moment ... 0.000 μB/atom

```
GeTe3I
1.0
7.779 0.656 0.259
0.736 7.686 -1.099
0.166 -0.761 6.327
Te I Ge
6 2 2
direct
0.861 0.061 0.603
0.089 0.599 0.377
0.916 0.458 0.710
0.645 0.710 0.630
0.388 0.313 0.275
0.323 0.818 0.202
0.851 0.063 0.106
0.373 0.293 0.767
0.606 0.547 0.199
0.205 0.902 0.639
```

Which of them is the least stable? Correct choice: <Q>.

<P>
GeTeI2 after structural relaxation, computed with PBE.

Volume ... 165.39 Å³ per cell
Magnetic moment ... 0.000 μB/atom

```
GeTeI2
1.0
-2.069 -1.913 -3.170
2.523 -2.125 -7.543
0.436 -7.196 -0.848
Ge I Te
1 2 1
direct
0.754 0.028 0.559
0.344 0.433 0.650
0.109 0.858 0.008
0.293 0.180 0.282
```

<Q>
GeTeI2 after structural relaxation, computed with PBE.

Volume ... 120.30 Å³ per cell
Magnetic moment ... 0.000 μB/atom

```
GeTeI2
1.0
-0.835 -4.499 3.125
-1.940 0.534 5.163
-5.161 -1.620 1.202
I Ge Te
2 1 1
direct
0.750 0.750 0.750
0.250 0.250 0.250
0.000 0.000 0.000
0.500 0.500 0.500
```

Which of them is the least stable? Correct choice: <Q>.

<P>
Ge2Te2I after structural relaxation, computed with PBE.

Volume ... 160.28 Å³ per cell
Magnetic moment ... 0.000 μB/atom

```
Ge2Te2I
1.0
-2.289 4.440 -0.148
-4.003 -2.134 -2.097
-5.620 0.073 4.699
Ge Te I
2 2 1
direct
0.750 0.250 0.500
0.250 0.750 0.500
0.355 0.355 0.291
0.645 0.645 0.709
0.000 0.000 0.000
```

<Q>
Ge2Te2I after structural relaxation, computed with PBE.

Volume ... 274.77 Å³ per cell
Magnetic moment ... 0.000 μB/atom

```
Ge2Te2I
1.0
8.584 0.000 0.000
0.000 8.584 0.000
0.000 0.000 3.729
I Te Ge
2 4 4
direct
0.000 0.000 0.000
0.500 0.500 0.000
0.859 0.359 0.500
0.141 0.641 0.500
0.359 0.141 0.500
0.641 0.859 0.500
0.643 0.143 0.000
0.143 0.357 0.000
0.857 0.643 0.000
0.357 0.857 0.000
```

Which of them is the least stable? Correct choice: <Q>.

<P>
Ge2Te2I after structural relaxation, computed with PBE.

Volume ... 320.16 Å³ per cell
Magnetic moment ... 0.000 μB/atom

```
Ge2Te2I
1.0
-2.730 -0.298 6.438
3.662 -5.825 1.283
4.485 6.674 -1.594
Te I Ge
4 2 4
direct
0.148 0.410 0.820
0.672 0.410 0.820
0.660 0.422 0.320
0.660 0.898 0.320
0.966 0.966 0.933
0.216 0.716 0.433
0.991 0.197 0.394
0.403 0.197 0.394
0.447 0.741 0.894
0.447 0.153 0.894
```

<Q>
Ge2Te2I after structural relaxation, computed with PBE.

Volume ... 153.35 Å³ per cell
Magnetic moment ... 0.000 μB/atom

```
Ge2Te2I
1.0
-1.547 -0.284 -4.647
-1.189 -4.710 0.684
-7.213 -0.754 -0.142
Ge Te I
2 2 1
direct
0.625 0.625 0.750
0.375 0.375 0.250
0.750 0.250 0.500
0.250 0.750 0.500
0.000 0.000 0.000
```

Which of them is the least stable? Correct choice: <Q>.

<P>
Ge2TeI2 after structural relaxation, computed with PBE.

Volume ... 349.15 Å³ per cell
Magnetic moment ... 0.000 μB/atom

```
Ge2TeI2
1.0
7.565 0.000 0.000
-3.783 6.282 1.156
0.000 -1.323 7.103
I Ge Te
4 4 2
direct
0.842 0.326 0.749
0.158 0.674 0.251
0.517 0.674 0.751
0.483 0.326 0.249
0.854 0.709 0.999
0.145 0.291 0.501
0.855 0.709 0.499
0.146 0.291 0.001
0.831 0.000 0.250
0.169 0.000 0.750
```

<Q>
Ge2TeI2 after structural relaxation, computed with PBE.

Volume ... 182.10 Å³ per cell
Magnetic moment ... 0.000 μB/atom

```
Ge2TeI2
1.0
4.197 0.000 0.784
2.040 3.683 0.706
-0.026 -0.050 11.772
Te Ge I
1 2 2
direct
0.000 0.500 0.500
0.722 0.205 0.350
0.278 0.795 0.650
0.446 0.912 0.197
0.554 0.088 0.803
```

Which of them is the least stable? Correct choice: <P>.